VASP calculation (PBE) on a geometry-optimized Mg2AsP structure.

POSCAR file:
```
Mg2AsP
1.0
-1.479 -3.959 3.704
2.200 -1.882 -1.134
2.897 1.635 2.905
As Mg P
1 2 1
direct
0.500 0.875 0.876 As
0.000 0.875 0.874 Mg
0.500 0.375 0.376 Mg
0.000 0.375 0.374 P
```

Properties
energy relative to the lowest polymorph listed for this composition	0.029	eV per atom
density	3.33	Mg/m³
electronic total energy	-3.61	eV/atom
space group	Pmm2, No. 25

=====

VASP calculation (PBE) on a geometry-optimized MgAs3P structure.

POSCAR file:
```
MgAs3P
1.0
4.910 0.000 0.000
0.000 4.910 0.000
0.000 0.000 4.910
P As Mg
1 3 1
direct
0.500 0.500 0.500 P
0.000 0.500 0.000 As
0.000 0.000 0.500 As
0.500 0.000 0.000 As
0.000 0.000 0.000 Mg
```

Properties
energy relative to the lowest polymorph listed for this composition	0.555	eV per atom
density	3.93	Mg/m³
electronic total energy	-3.15	eV/atom
space group	Pm-3m, No. 221

=====

VASP calculation (PBE) on a geometry-optimized MgAs2P structure.

POSCAR file:
```
MgAs2P
1.0
-4.600 -5.729 4.423
-1.680 -7.570 3.664
-0.031 -1.661 3.910
As Mg P
2 1 1
direct
0.012 0.012 0.955 As
0.756 0.756 0.676 As
0.490 0.490 0.520 Mg
0.243 0.243 0.349 P
```

Properties
energy relative to the lowest polymorph listed for this composition	0.022	eV per atom
density	4.13	Mg/m³
electronic total energy	-4.21	eV/atom
space group	Cm, No. 8